SmErHg | Alexandria | PBE-GGA | optimized geometry; symmetry = No. 62; distance to the lowest polymorph of the same formula = 0 meV per atom; electronic total energy = -3.5440 eV per atom; energy of formation = -0.35 eV/atom
1.0
5.081 0.000 0.000
0.000 9.258 0.000
0.000 0.000 7.264
Sm Er Hg
4 4 4
Direct
0.250 0.810 0.484 Sm
0.750 0.310 0.016 Sm
0.250 0.690 0.984 Sm
0.750 0.190 0.516 Sm
0.750 0.926 0.163 Er
0.750 0.574 0.663 Er
0.250 0.074 0.837 Er
0.250 0.426 0.337 Er
0.750 0.604 0.247 Hg
0.750 0.896 0.747 Hg
0.250 0.104 0.253 Hg
0.250 0.396 0.753 Hg


Sm3Er2Hg3 | Alexandria | PBE-GGA | optimized geometry; symmetry = No. 71; electronic total energy = -3.3780 eV per atom; energy of formation = -0.35 eV/atom
1.0
-3.006 2.210 0.283
-2.081 -3.309 3.732
7.601 6.405 6.002
Sm Er Hg
3 2 3
Direct
0.623 0.623 0.245 Sm
0.377 0.377 0.755 Sm
0.500 0.000 0.000 Sm
0.733 0.233 0.467 Er
0.267 0.767 0.533 Er
0.122 0.122 0.245 Hg
0.000 0.500 0.000 Hg
0.878 0.878 0.755 Hg


Sm3ErHg7 | Alexandria | PBE-GGA | optimized geometry; symmetry = No. 63; electronic total energy = -2.2051 eV per atom; energy of formation = -0.31 eV/atom
1.0
-3.176 -0.331 1.530
6.283 -0.172 8.906
-1.096 15.485 1.073
Sm Er Hg
6 2 14
Direct
0.117 0.233 0.481 Sm
0.883 0.767 0.519 Sm
0.238 0.475 0.750 Sm
0.762 0.525 0.250 Sm
0.117 0.233 0.019 Sm
0.883 0.767 0.981 Sm
0.983 0.965 0.250 Er
0.017 0.035 0.750 Er
0.387 0.773 0.750 Hg
0.613 0.227 0.250 Hg
0.505 0.011 0.408 Hg
0.495 0.989 0.592 Hg
0.495 0.989 0.908 Hg
0.505 0.011 0.092 Hg
0.377 0.754 0.344 Hg
0.623 0.246 0.656 Hg
0.254 0.508 0.421 Hg
0.746 0.492 0.579 Hg
0.746 0.492 0.921 Hg
0.254 0.508 0.079 Hg
0.377 0.754 0.156 Hg
0.623 0.246 0.844 Hg


SmEr2Hg2 | Alexandria | PBE-GGA | optimized geometry; symmetry = No. 11; distance to the lowest polymorph of the same formula = 0 meV per atom; electronic total energy = -3.2722 eV per atom; energy of formation = -0.38 eV/atom
1.0
3.687 0.000 -0.494
0.000 5.329 0.000
-0.030 0.000 13.785
Sm Er Hg
2 4 4
Direct
0.852 0.750 0.707 Sm
0.148 0.250 0.293 Sm
0.048 0.750 0.095 Er
0.952 0.250 0.905 Er
0.236 0.750 0.472 Er
0.764 0.250 0.528 Er
0.645 0.750 0.288 Hg
0.355 0.250 0.712 Hg
0.455 0.750 0.909 Hg
0.545 0.250 0.091 Hg


Sm2ErHg5 | Alexandria | PBE-GGA | optimized geometry; symmetry = No. 139; electronic total energy = -2.3459 eV per atom; energy of formation = -0.41 eV/atom
1.0
5.207 0.000 0.000
0.000 5.207 0.000
-2.604 -2.604 7.465
Sm Er Hg
2 1 5
Direct
0.736 0.736 0.473 Sm
0.264 0.264 0.527 Sm
0.000 0.000 0.000 Er
0.500 0.500 0.000 Hg
0.881 0.381 0.762 Hg
0.381 0.881 0.762 Hg
0.119 0.619 0.238 Hg
0.619 0.119 0.238 Hg


Sm2ErHg | Alexandria | PBE-GGA | optimized geometry; symmetry = No. 123; distance to the lowest polymorph of the same formula = 15 meV per atom; electronic total energy = -3.7872 eV per atom; energy of formation = -0.21 eV/atom
1.0
3.668 0.000 0.000
0.000 3.668 0.000
0.000 0.000 8.902
Hg Sm Er
1 2 1
Direct
0.500 0.500 0.000 Hg
0.000 0.000 0.775 Sm
0.000 0.000 0.225 Sm
0.500 0.500 0.500 Er


SmEr3Hg2 | Alexandria | PBE-GGA | optimized geometry; symmetry = No. 26; distance to the lowest polymorph of the same formula = 0 meV per atom; electronic total energy = -3.5236 eV per atom; energy of formation = -0.36 eV/atom
1.0
-4.438 -2.448 0.243
1.549 -2.153 6.603
-3.991 7.573 3.406
Sm Er Hg
2 6 4
Direct
0.500 0.516 0.557 Sm
0.500 0.016 0.443 Sm
0.000 0.484 0.943 Er
0.000 0.984 0.057 Er
0.500 0.667 0.172 Er
0.500 0.167 0.828 Er
0.000 0.333 0.321 Er
0.000 0.833 0.679 Er
0.500 0.742 0.854 Hg
0.500 0.242 0.146 Hg
0.000 0.258 0.650 Hg
0.000 0.758 0.350 Hg


SmErHg6 | Alexandria | PBE-GGA | optimized geometry; symmetry = No. 123; distance to the lowest polymorph of the same formula = 31 meV per atom; electronic total energy = -1.7017 eV per atom; energy of formation = -0.32 eV/atom
1.0
-3.094 1.920 2.988
-2.051 -4.202 0.576
5.499 -1.749 6.818
Sm Er Hg
1 1 6
Direct
0.000 0.000 0.000 Sm
0.000 0.000 0.500 Er
0.500 0.500 0.000 Hg
0.500 0.500 0.500 Hg
0.500 0.000 0.255 Hg
0.500 0.000 0.745 Hg
0.000 0.500 0.255 Hg
0.000 0.500 0.745 Hg


SmEr5Hg4 | Alexandria | PBE-GGA | optimized geometry; symmetry = No. 123; electronic total energy = -3.2493 eV per atom; energy of formation = -0.38 eV/atom
1.0
3.655 0.000 0.000
0.000 3.655 0.000
0.000 0.000 20.007
Sm Er Hg
1 5 4
Direct
0.000 0.000 0.000 Sm
0.500 0.500 0.125 Er
0.500 0.500 0.313 Er
0.500 0.500 0.500 Er
0.500 0.500 0.687 Er
0.500 0.500 0.875 Er
0.000 0.000 0.217 Hg
0.000 0.000 0.405 Hg
0.000 0.000 0.595 Hg
0.000 0.000 0.783 Hg


SmEr4Hg4 | Alexandria | PBE-GGA | optimized geometry; symmetry = No. 86; electronic total energy = -2.9347 eV per atom; energy of formation = -0.25 eV/atom
1.0
-4.301 3.205 -1.056
-5.645 -5.986 4.824
1.672 4.885 8.019
Sm Er Hg
2 8 8
Direct
0.000 0.000 0.000 Sm
0.500 0.500 0.500 Sm
0.408 0.410 0.851 Er
0.908 0.649 0.910 Er
0.408 0.590 0.149 Er
0.092 0.090 0.649 Er
0.592 0.851 0.590 Er
0.092 0.910 0.351 Er
0.908 0.351 0.090 Er
0.592 0.149 0.410 Er
0.593 0.895 0.208 Hg
0.593 0.105 0.792 Hg
0.093 0.708 0.605 Hg
0.907 0.395 0.708 Hg
0.907 0.605 0.292 Hg
0.407 0.208 0.105 Hg
0.407 0.792 0.895 Hg
0.093 0.292 0.395 Hg